[1]
! Pm4Nd2Dy3 (PBE-GGA, relaxed); values from VASP
! Total moment: 0.0001 μB/atom
! Calculated formation energy: 54 meV per atom
! Density of states at the Fermi level: 17.00 states/eV per cell
! ΔE to the lowest computed polymorph: 0.00 kJ/mol of atoms
! Crystal system: trigonal
! Calculated total energy: -41.857 eV for the cell shown
&SYSTEM
  ibrav = 0, nat = 9, ntyp = 3
/
ATOMIC_SPECIES
Pm 145.00 Pm.upf
Nd 144.24 Nd.upf
Dy 162.50 Dy.upf
ATOMIC_POSITIONS angstrom
Pm 0.000 0.000 0.000
Pm 0.000 0.000 5.747
Pm 0.000 2.098 8.740
Pm 0.000 2.098 14.537
Nd 0.000 0.000 17.560
Nd 0.000 0.000 23.347
Dy 0.000 0.000 11.641
Dy 0.000 2.098 2.820
Dy 0.000 2.098 20.506
CELL_PARAMETERS angstrom
3.633 0.000 0.000
-1.817 3.147 0.000
0.000 0.000 26.913


[2]
! PmNd3Dy4 (PBE-GGA, relaxed); values from VASP
! Total moment: 0.0001 μB/atom
! Calculated formation energy: 28 meV per atom
! Density of states at the Fermi level: 29.10 states/eV per cell
! ΔE to the lowest computed polymorph: 0.88 kJ/mol of atoms
! Crystal system: orthorhombic
! Calculated total energy: -74.483 eV for the cell shown
&SYSTEM
  ibrav = 0, nat = 16, ntyp = 3
/
ATOMIC_SPECIES
Pm 145.00 Pm.upf
Nd 144.24 Nd.upf
Dy 162.50 Dy.upf
ATOMIC_POSITIONS angstrom
Pm 0.000 0.938 0.000
Pm 5.798 6.391 3.160
Nd 0.000 6.394 3.161
Nd 2.899 0.934 2.116
Nd 2.899 6.394 5.276
Nd 5.798 0.935 0.001
Nd 8.697 0.934 2.116
Nd 8.697 6.394 5.276
Dy 0.000 2.772 3.167
Dy 0.000 4.557 0.006
Dy 2.895 2.772 5.268
Dy 2.903 4.556 2.108
Dy 5.798 2.771 3.166
Dy 5.798 4.556 0.007
Dy 8.701 2.772 5.268
Dy 8.694 4.556 2.108
CELL_PARAMETERS angstrom
11.596 0.000 0.000
0.000 7.328 0.000
0.000 0.000 6.320


[3]
! Pm2Nd3Dy5 (PBE-GGA, relaxed); values from VASP
! Total moment: 0.0000 μB/atom
! Calculated formation energy: 182 meV per atom
! Density of states at the Fermi level: 33.65 states/eV per cell
! ΔE to the lowest computed polymorph: 0.00 kJ/mol of atoms
! Crystal system: monoclinic
! Calculated total energy: -89.990 eV for the cell shown
&SYSTEM
  ibrav = 0, nat = 20, ntyp = 3
/
ATOMIC_SPECIES
Pm 145.00 Pm.upf
Nd 144.24 Nd.upf
Dy 162.50 Dy.upf
ATOMIC_POSITIONS angstrom
Pm 1.319 2.122 0.338
Pm -1.365 -2.122 4.167
Pm 6.736 2.122 3.491
Pm 4.052 -2.122 7.320
Nd 1.343 7.878 5.743
Nd 1.318 2.057 3.463
Nd -1.366 -2.057 7.292
Nd 6.737 2.057 0.366
Nd 4.052 -2.057 4.195
Nd 4.027 -7.878 1.914
Dy -1.326 2.184 5.848
Dy 1.343 4.506 5.743
Dy 4.027 3.630 1.914
Dy 1.358 -2.184 2.019
Dy 4.027 0.387 1.914
Dy 1.343 -0.387 5.743
Dy 4.013 2.184 5.638
Dy 1.343 -3.630 5.743
Dy 4.027 -4.506 1.914
Dy 6.697 -2.184 1.809
CELL_PARAMETERS angstrom
5.369 -8.190 0.000
5.369 8.190 0.000
-5.368 0.000 7.658


[4]
! Pm3Nd5Dy2 (PBE-GGA, relaxed); values from VASP
! Total moment: 0.0000 μB/atom
! Calculated formation energy: 175 meV per atom
! Density of states at the Fermi level: 34.38 states/eV per cell
! ΔE to the lowest computed polymorph: 0.00 kJ/mol of atoms
! Crystal system: monoclinic
! Calculated total energy: -91.100 eV for the cell shown
&SYSTEM
  ibrav = 0, nat = 20, ntyp = 3
/
ATOMIC_SPECIES
Pm 145.00 Pm.upf
Nd 144.24 Nd.upf
Dy 162.50 Dy.upf
ATOMIC_POSITIONS angstrom
Pm 1.338 1.875 0.480
Pm 1.369 4.048 6.391
Pm -1.379 -1.875 4.741
Pm 6.835 1.875 3.780
Pm 4.086 -4.048 2.130
Pm 4.117 -1.875 8.041
Nd 1.369 7.172 6.391
Nd -1.333 1.875 6.459
Nd 4.086 3.414 2.130
Nd 1.384 -1.875 2.198
Nd 4.086 0.321 2.130
Nd 1.369 -0.321 6.391
Nd 4.071 1.875 6.323
Nd 1.369 -3.414 6.391
Nd 6.789 -1.875 2.062
Nd 4.086 -7.172 2.130
Dy 1.338 1.879 3.783
Dy -1.379 -1.879 8.043
Dy 6.834 1.879 0.478
Dy 4.117 -1.879 4.739
CELL_PARAMETERS angstrom
5.445 -7.482 0.000
5.445 7.482 0.000
-5.435 0.000 8.521


[5]
! Pm8Nd6Dy (PBE-GGA, relaxed); values from VASP
! Total moment: 0.0000 μB/atom
! Calculated formation energy: 157 meV per atom
! Density of states at the Fermi level: 21.54 states/eV per cell
! ΔE to the lowest computed polymorph: 0.00 kJ/mol of atoms
! Crystal system: trigonal
! Calculated total energy: -68.855 eV for the cell shown
&SYSTEM
  ibrav = 0, nat = 15, ntyp = 3
/
ATOMIC_SPECIES
Pm 145.00 Pm.upf
Nd 144.24 Nd.upf
Dy 162.50 Dy.upf
ATOMIC_POSITIONS angstrom
Pm 0.000 0.000 1.523
Pm -2.131 0.491 6.033
Pm 0.641 -2.091 6.033
Pm -1.491 -1.600 12.229
Pm 1.491 1.600 6.033
Pm -0.641 2.091 12.229
Pm 2.131 -0.491 12.229
Pm 0.000 0.000 16.739
Nd -3.346 -0.804 8.961
Nd -0.977 -3.300 9.301
Nd -2.370 2.496 9.301
Nd 2.370 -2.496 8.961
Nd 0.977 3.300 8.961
Nd 3.346 0.804 9.301
Dy 0.000 0.000 9.131
CELL_PARAMETERS angstrom
4.960 2.864 6.087
-4.960 2.864 6.087
0.000 -5.727 6.087


[6]
! Pm2Nd5Dy12 (PBE-GGA, relaxed); values from VASP
! Total moment: 0.0000 μB/atom
! Calculated formation energy: 17 meV per atom
! Density of states at the Fermi level: 26.20 states/eV per cell
! ΔE to the lowest computed polymorph: 0.00 kJ/mol of atoms
! Crystal system: triclinic
! Calculated total energy: -88.246 eV for the cell shown
&SYSTEM
  ibrav = 0, nat = 19, ntyp = 3
/
ATOMIC_SPECIES
Pm 145.00 Pm.upf
Nd 144.24 Nd.upf
Dy 162.50 Dy.upf
ATOMIC_POSITIONS angstrom
Pm -1.023 3.955 4.674
Pm 2.078 4.314 6.445
Nd 0.000 0.000 0.000
Nd -2.052 7.192 5.857
Nd 0.005 2.159 10.531
Nd 1.050 6.110 0.589
Nd 3.107 1.077 5.263
Dy -1.030 3.233 1.173
Dy -2.053 6.469 2.343
Dy 0.001 0.723 3.501
Dy -0.007 1.431 7.033
Dy -1.027 4.674 8.204
Dy -2.057 7.911 9.358
Dy 3.112 0.358 1.762
Dy 2.082 3.596 2.916
Dy 1.062 6.839 4.087
Dy 1.054 7.546 7.618
Dy 3.108 1.801 8.777
Dy 2.085 5.036 9.946
CELL_PARAMETERS angstrom
6.215 0.000 0.000
-3.081 8.986 0.000
-2.080 -0.717 11.120


[7]
! Pm4Nd2Dy (PBE-GGA, relaxed); values from VASP
! Total moment: 0.0000 μB/atom
! Calculated formation energy: 11 meV per atom
! Density of states at the Fermi level: 8.95 states/eV per cell
! ΔE to the lowest computed polymorph: 0.00 kJ/mol of atoms
! Crystal system: trigonal
! Calculated total energy: -33.063 eV for the cell shown
&SYSTEM
  ibrav = 0, nat = 7, ntyp = 3
/
ATOMIC_SPECIES
Pm 145.00 Pm.upf
Nd 144.24 Nd.upf
Dy 162.50 Dy.upf
ATOMIC_POSITIONS angstrom
Pm 0.000 0.000 8.911
Pm 0.000 0.000 17.883
Pm 0.000 0.000 44.490
Pm 0.000 0.000 53.462
Nd 0.000 0.000 26.705
Nd 0.000 0.000 35.668
Dy 0.000 0.000 0.000
CELL_PARAMETERS angstrom
1.822 1.052 20.791
-1.822 1.052 20.791
0.000 -2.104 20.791


[8]
! PmNd2Dy (PBE-GGA, relaxed); values from VASP
! Total moment: 0.0000 μB/atom
! Calculated formation energy: 13 meV per atom
! Density of states at the Fermi level: 5.08 states/eV per cell
! ΔE to the lowest computed polymorph: 0.00 kJ/mol of atoms
! Crystal system: trigonal
! Calculated total energy: -18.837 eV for the cell shown
&SYSTEM
  ibrav = 0, nat = 4, ntyp = 3
/
ATOMIC_SPECIES
Pm 145.00 Pm.upf
Nd 144.24 Nd.upf
Dy 162.50 Dy.upf
ATOMIC_POSITIONS angstrom
Pm 0.000 0.000 0.000
Nd 0.000 0.000 8.847
Nd 0.000 0.000 26.695
Dy 0.000 0.000 17.771
CELL_PARAMETERS angstrom
1.820 1.051 11.847
-1.820 1.051 11.847
0.000 -2.102 11.847


[9]
! Pm2Nd6Dy3 (PBE-GGA, relaxed); values from VASP
! Total moment: 0.0000 μB/atom
! Calculated formation energy: 281 meV per atom
! Density of states at the Fermi level: 16.31 states/eV per cell
! ΔE to the lowest computed polymorph: 25.76 kJ/mol of atoms
! Crystal system: tetragonal
! Calculated total energy: -48.823 eV for the cell shown
&SYSTEM
  ibrav = 0, nat = 11, ntyp = 3
/
ATOMIC_SPECIES
Pm 145.00 Pm.upf
Nd 144.24 Nd.upf
Dy 162.50 Dy.upf
ATOMIC_POSITIONS angstrom
Pm 0.000 0.000 1.542
Pm 0.000 0.000 32.695
Nd 2.396 0.000 4.154
Nd 0.000 0.000 6.996
Nd 2.396 0.000 12.964
Nd 0.000 2.396 4.154
Nd 0.000 0.000 27.241
Nd 0.000 2.396 12.964
Dy 0.000 0.000 10.423
Dy 0.000 0.000 17.118
Dy 0.000 0.000 23.814
CELL_PARAMETERS angstrom
-2.396 2.396 17.118
2.396 -2.396 17.118
2.396 2.396 -17.118


[10]
! PmNd3Dy4 (PBE-GGA, relaxed); values from VASP
! Total moment: 0.0000 μB/atom
! Calculated formation energy: 18 meV per atom
! Density of states at the Fermi level: 24.15 states/eV per cell
! ΔE to the lowest computed polymorph: 0.00 kJ/mol of atoms
! Crystal system: orthorhombic
! Calculated total energy: -74.629 eV for the cell shown
&SYSTEM
  ibrav = 0, nat = 16, ntyp = 3
/
ATOMIC_SPECIES
Pm 145.00 Pm.upf
Nd 144.24 Nd.upf
Dy 162.50 Dy.upf
ATOMIC_POSITIONS angstrom
Pm 0.000 0.000 0.000
Pm 5.105 0.000 3.608
Nd 0.000 3.607 3.608
Nd 2.553 1.801 1.804
Nd 2.553 5.413 5.412
Nd 5.105 3.607 0.000
Nd 7.658 1.801 1.804
Nd 7.658 5.413 5.412
Dy 0.000 0.000 3.608
Dy 0.000 3.607 0.000
Dy 2.553 1.801 5.412
Dy 2.553 5.412 1.804
Dy 5.105 0.000 0.000
Dy 5.105 3.607 3.608
Dy 7.658 1.801 5.412
Dy 7.658 5.412 1.804
CELL_PARAMETERS angstrom
10.211 0.000 0.000
0.000 7.214 0.000
0.000 0.000 7.216